Entry A
Computed, not measured: an optimized crystal structure of HfCr3O at the PBE+U level of DFT.

Unit cell a=4.3032 b=4.3032 c=4.3032 alpha=90.00 beta=90.00 gamma=90.00
Fractional positions:
Hf1 0.0000 0.0000 0.0000
Cr1 0.0000 0.5000 0.5000
Cr2 0.5000 0.0000 0.5000
Cr3 0.5000 0.5000 0.0000
O1 0.5000 0.5000 0.5000

- Volume: 15.937 Å³ per atom
- Spin magnetization: 2.04 μB/atom
- Space group: Pm-3m (221)


Entry B
Computed, not measured: an optimized crystal structure of HfCr3O at the PBE+U level of DFT.

Unit cell a=5.0993 b=5.0993 c=5.0993 alpha=90.00 beta=90.00 gamma=90.00
Fractional positions:
Hf1 0.0000 0.0000 0.0000
Cr1 0.0000 0.0000 0.5000
Cr2 0.0000 0.5000 0.0000
Cr3 0.5000 0.0000 0.0000
O1 0.5000 0.5000 0.5000

- Volume: 26.519 Å³ per atom
- Spin magnetization: 2.64 μB/atom
- Space group: Pm-3m (221)


How far above the most stable structure does each one sit? In kJ/mol of atoms: entry A 0.0; entry B 199.0.


Entry A
Computed, not measured: an optimized crystal structure of HfCrP2O at the PBE+U level of DFT.

Unit cell a=5.1208 b=5.1208 c=3.8949 alpha=90.00 beta=90.00 gamma=90.00
Fractional positions:
Hf1 0.0000 0.0000 0.0000
Cr1 0.5000 0.5000 0.5000
P1 0.0000 0.5000 0.0000
P2 0.5000 0.0000 0.0000
O1 0.0000 0.0000 0.5000

- Volume: 20.427 Å³ per atom
- Spin magnetization: 0.21 μB/atom
- Space group: P4/mmm (123)


Entry B
Computed, not measured: an optimized crystal structure of HfCrP2O at the PBE+U level of DFT.

Unit cell a=4.7248 b=4.7248 c=3.5739 alpha=90.00 beta=90.00 gamma=90.00
Fractional positions:
Hf1 0.0000 0.0000 0.0000
Cr1 0.5000 0.5000 0.5000
P1 0.0000 0.5000 0.5000
P2 0.5000 0.0000 0.5000
O1 0.5000 0.5000 0.0000

- Volume: 15.956 Å³ per atom
- Spin magnetization: 0.41 μB/atom
- Space group: P4/mmm (123)


How far above the most stable structure does each one sit? In kJ/mol of atoms: entry A 30.4; entry B 0.0.


Entry A
Computed, not measured: an optimized crystal structure of HfCrPO2 at the PBE+U level of DFT.

Unit cell a=3.8063 b=3.8063 c=4.7377 alpha=90.00 beta=90.00 gamma=90.00
Fractional positions:
Hf1 0.0000 0.0000 0.0000
Cr1 0.5000 0.5000 0.5000
P1 0.5000 0.5000 0.0000
O1 0.0000 0.5000 0.5000
O2 0.5000 0.0000 0.5000

- Volume: 13.728 Å³ per atom
- Spin magnetization: 0.57 μB/atom
- Space group: P4/mmm (123)


Entry B
Computed, not measured: an optimized crystal structure of HfCrPO2 at the PBE+U level of DFT.

Unit cell a=3.9826 b=3.9826 c=5.4797 alpha=90.00 beta=90.00 gamma=90.00
Fractional positions:
Hf1 0.0000 0.0000 0.0000
Cr1 0.5000 0.5000 0.5000
P1 0.0000 0.0000 0.5000
O1 0.0000 0.5000 0.0000
O2 0.5000 0.0000 0.0000

- Volume: 17.382 Å³ per atom
- Spin magnetization: 0.67 μB/atom
- Space group: P4/mmm (123)


How far above the most stable structure does each one sit? In kJ/mol of atoms: entry A 40.0; entry B 0.0.